# 1
Compound: BeTlCu
Source: Alexandria
Functional: PBE
Structure: relaxed

Lattice parameters (Å, degrees): 5.813 5.813 5.813 90.00 90.00 90.00
Space group F-43m (No. 216)
Asymmetric unit:
1 Be 0.000 0.000 0.000 [4 per cell]
2 Tl 0.250 0.250 0.750 [4 per cell]
3 Cu 0.250 0.250 0.250 [4 per cell]

Values from the calculation:
Energy: -2.957 eV/atom
Energy relative to the elements: 438.8 meV per atom
Relative energy among the computed polymorphs: 0.100 eV per formula unit

---

# 2
Compound: Ba2MgIO6
Source: Alexandria
Functional: PBE
Structure: relaxed

Lattice parameters (Å, degrees): 5.9703 5.9703 29.9235 90.00 90.00 120.00
Space group R-3m (No. 166, hexagonal axes)
Asymmetric unit:
1 Ba 0.0000 0.0000 0.1230 [6 per cell]
2 Ba 0.0000 0.0000 0.2915 [6 per cell]
3 Mg 0.0000 0.0000 0.4061 [6 per cell]
4 I 0.0000 0.0000 0.0000 [3 per cell]
5 I 0.0000 0.0000 0.5000 [3 per cell]
6 O 0.0050 0.5025 0.7080 [18 per cell]
7 O 0.0371 0.5185 0.1286 [18 per cell]

Values from the calculation:
ΔE_f (raw): -1.887 eV per atom
Energy: -5.561 eV/atom

---

# 3
Compound: Si2Ni2Ir
Source: Alexandria
Functional: PBE
Structure: relaxed

Lattice parameters (Å, degrees): 6.447 6.447 2.930 90.00 90.00 90.00
Space group P4/mbm (No. 127)
Asymmetric unit:
1 Si 0.149 0.351 0.000 [4 per cell]
2 Ni 0.140 0.640 0.500 [4 per cell]
3 Ir 0.000 0.000 0.000 [2 per cell]

Values from the calculation:
ΔE_f (raw): -0.464 eV per atom
Energy: -6.718 eV/atom

---

# 4
Compound: Zn5CoPd6
Source: Alexandria
Functional: PBE
Structure: relaxed

Lattice parameters (Å, degrees): 4.109 6.817 12.247 90.00 90.00 90.00
Space group Immm (No. 71)
Asymmetric unit:
1 Zn 0.000 0.000 0.000 [2 per cell]
2 Zn 0.000 0.000 0.340 [4 per cell]
3 Zn 0.000 0.500 0.332 [4 per cell]
4 Co 0.000 0.500 0.000 [2 per cell]
5 Pd 0.000 0.248 0.167 [8 per cell]
6 Pd 0.000 0.254 0.500 [4 per cell]

Values from the calculation:
Energy: -4.149 eV/atom
Energy relative to the elements: -429.3 meV per atom

---

# 5
Compound: Ir7Rh
Source: Alexandria
Functional: PBE
Structure: relaxed

Lattice parameters (Å, degrees): 7.741 7.741 7.741 90.00 90.00 90.00
Space group Fm-3m (No. 225)
Asymmetric unit:
1 Ir 0.000 0.000 0.000 [4 per cell]
2 Ir 0.000 0.250 0.250 [24 per cell]
3 Rh 0.000 0.000 0.500 [4 per cell]

Values from the calculation:
Energy: -8.677 eV/atom
Energy relative to the elements: -4.5 meV per atom

---

# 6
Compound: ThHg4
Source: Alexandria
Functional: PBE
Structure: relaxed

Lattice parameters (Å, degrees): 6.173 6.173 6.173 90.00 90.00 90.00
Space group Pm-3m (No. 221)
Asymmetric unit:
1 Th 0.000 0.000 0.000 [1 per cell]
2 Hg 0.000 0.000 0.500 [3 per cell]
3 Hg 0.500 0.500 0.500 [1 per cell]

Values from the calculation:
Energy: -1.190 eV/atom
Energy relative to the elements: 535.6 meV per atom
Relative energy among the computed polymorphs: 3.455 eV per formula unit

---

# 7
Compound: LiPaPN
Source: Alexandria
Functional: PBE
Structure: relaxed

Lattice parameters (Å, degrees): 3.828 3.828 8.596 90.00 90.00 90.00
Space group P4/nmm (No. 129, origin choice 2)
Asymmetric unit:
1 Li 0.250 0.750 0.000 [2 per cell]
2 Pa 0.250 0.250 0.356 [2 per cell]
3 P 0.250 0.250 0.810 [2 per cell]
4 N 0.250 0.750 0.500 [2 per cell]

Values from the calculation:
ΔE_f (raw): -1.332 eV per atom
Energy: -7.618 eV/atom

---

# 8
Compound: RbSnTeI2
Source: Alexandria
Functional: PBE
Structure: relaxed

Lattice parameters (Å, degrees): 6.221 6.221 5.843 90.00 90.00 90.00
Space group P4/mmm (No. 123)
Asymmetric unit:
1 Rb 0.000 0.000 0.000 [1 per cell]
2 Sn 0.500 0.500 0.500 [1 per cell]
3 Te 0.500 0.500 0.000 [1 per cell]
4 I 0.000 0.500 0.500 [2 per cell]

Values from the calculation:
ΔE_f (raw): -0.605 eV per atom
Energy: -2.847 eV/atom
Relative energy among the computed polymorphs: 0.000 eV per formula unit

---

# 9
Compound: DyPPd
Source: Alexandria
Functional: PBE
Structure: relaxed

Lattice parameters (Å, degrees): 6.858 4.020 11.735 90.00 90.51 90.00
Space group P2_1/m (No. 11)
Asymmetric unit:
1 Dy 0.031 0.250 0.123 [2 per cell]
2 Dy 0.164 0.250 0.422 [2 per cell]
3 Dy 0.466 0.750 0.792 [2 per cell]
4 P 0.241 0.750 0.250 [2 per cell]
5 P 0.251 0.750 0.587 [2 per cell]
6 P 0.253 0.250 0.918 [2 per cell]
7 Pd 0.127 0.250 0.706 [2 per cell]
8 Pd 0.352 0.750 0.042 [2 per cell]
9 Pd 0.496 0.750 0.408 [2 per cell]

Values from the calculation:
Energy: -6.330 eV/atom
Energy relative to the elements: -1261.3 meV per atom

---

# 10
Compound: SiBiSe2Br
Source: Alexandria
Functional: PBE
Structure: relaxed

Lattice parameters (Å, degrees): 5.582 5.582 5.478 90.00 90.00 90.00
Space group P4/mmm (No. 123)
Asymmetric unit:
1 Si 0.000 0.000 0.000 [1 per cell]
2 Bi 0.500 0.500 0.500 [1 per cell]
3 Se 0.000 0.500 0.500 [2 per cell]
4 Br 0.500 0.500 0.000 [1 per cell]

Values from the calculation:
ΔE_f (raw): 0.615 eV per atom
Energy: -2.974 eV/atom
Relative energy among the computed polymorphs: 2.635 eV per formula unit

---

# 11
Compound: LaHgP2
Source: Alexandria
Functional: PBE
Structure: relaxed

Lattice parameters (Å, degrees): 6.627 6.651 3.930 90.00 90.00 90.00
Space group Cmmm (No. 65)
Asymmetric unit:
1 La 0.000 0.000 0.000 [2 per cell]
2 Hg 0.000 0.500 0.000 [2 per cell]
3 P 0.250 0.250 0.500 [4 per cell]

Values from the calculation:
Energy: -4.496 eV/atom
Energy relative to the elements: -483.8 meV per atom

---

# 12
Compound: Nb3AuF
Source: Alexandria
Functional: PBE
Structure: relaxed

Lattice parameters (Å, degrees): 4.330 4.330 4.330 90.00 90.00 90.00
Space group Pm-3m (No. 221)
Asymmetric unit:
1 Nb 0.000 0.000 0.500 [3 per cell]
2 Au 0.500 0.500 0.500 [1 per cell]
3 F 0.000 0.000 0.000 [1 per cell]

Values from the calculation:
ΔE_f (raw): -0.064 eV per atom
Energy: -7.136 eV/atom
Relative energy among the computed polymorphs: 0.000 eV per formula unit

---

Which value of energy does entry 5 give? -8.677 eV/atom